1.
DFT (PBE-GGA) results for crystalline BaCa2Te at its relaxed geometry.

As for the density of states at the Fermi level: 1.086 states/eV per atom. The raw formation energy is -537 meV/atom. For the energy, the calculation gives -2.804 eV per atom. Its space group is P4/mmm, No. 123.

Cell lengths 5.1234, 5.1234, 5.9010 Å; angles 90.00, 90.00, 90.00 degrees
Closest atoms and distances in Å follow each position.
Sites, in units of the cell vectors:
Ba 0.0000 0.0000 0.0000  4 Te 3.62, 8 Ca 3.91
Ca 0.0000 0.5000 0.5000  4 Ca 3.62, 4 Ba 3.91, 4 Te 3.91
Ca 0.5000 0.0000 0.5000  4 Ca 3.62, 4 Ba 3.91, 4 Te 3.91
Te 0.5000 0.5000 0.0000  4 Ba 3.62, 8 Ca 3.91

2.
DFT (PBE-GGA) results for crystalline BaCa2Te at its relaxed geometry.

As for the density of states at the Fermi level: 1.121 states/eV per atom. The raw formation energy is -385 meV/atom. For the energy, the calculation gives -2.652 eV per atom. Its space group is F-43m, No. 216.

Cell lengths 8.5723, 8.5723, 8.5723 Å; angles 90.00, 90.00, 90.00 degrees
Closest atoms and distances in Å follow each position.
Sites, in units of the cell vectors:
Ba 0.0000 0.0000 0.0000  4 Te 3.71, 4 Ca 3.71
Ba 0.0000 0.5000 0.5000  4 Te 3.71, 4 Ca 3.71
Ba 0.5000 0.0000 0.5000  4 Te 3.71, 4 Ca 3.71
Ba 0.5000 0.5000 0.0000  4 Te 3.71, 4 Ca 3.71
Ca 0.0000 0.0000 0.5000  4 Ca 3.71, 4 Te 3.71
Ca 0.0000 0.5000 0.0000  4 Ca 3.71, 4 Te 3.71
Ca 0.2500 0.2500 0.2500  4 Ba 3.71, 4 Ca 3.71
Ca 0.2500 0.7500 0.7500  4 Ba 3.71, 4 Ca 3.71
Ca 0.5000 0.0000 0.0000  4 Ca 3.71, 4 Te 3.71
Ca 0.5000 0.5000 0.5000  4 Ca 3.71, 4 Te 3.71
Ca 0.7500 0.2500 0.7500  4 Ba 3.71, 4 Ca 3.71
Ca 0.7500 0.7500 0.2500  4 Ba 3.71, 4 Ca 3.71
Te 0.2500 0.2500 0.7500  4 Ba 3.71, 4 Ca 3.71
Te 0.2500 0.7500 0.2500  4 Ba 3.71, 4 Ca 3.71
Te 0.7500 0.2500 0.2500  4 Ba 3.71, 4 Ca 3.71
Te 0.7500 0.7500 0.7500  4 Ba 3.71, 4 Ca 3.71

3.
DFT (PBE-GGA) results for crystalline BaCaTe3 at its relaxed geometry.

As for the density of states at the Fermi level: 1.872 states/eV per atom. The raw formation energy is -911 meV/atom. The calculation puts the relative energy among the computed polymorphs at 0 meV/atom. For the energy, the calculation gives -3.581 eV per atom. Its space group is Pm-3m, No. 221.

Cell lengths 5.8783, 5.8783, 5.8783 Å; angles 90.00, 90.00, 90.00 degrees
Closest atoms and distances in Å follow each position.
Sites, in units of the cell vectors:
Ba 0.0000 0.0000 0.0000  12 Te 4.16
Ca 0.5000 0.5000 0.5000  6 Te 2.94
Te 0.0000 0.5000 0.5000  2 Ca 2.94
Te 0.5000 0.0000 0.5000  2 Ca 2.94
Te 0.5000 0.5000 0.0000  2 Ca 2.94

4.
DFT (PBE-GGA) results for crystalline BaCa2Te2 at its relaxed geometry.

As for the density of states at the Fermi level: 0.878 states/eV per atom. The raw formation energy is -1117 meV/atom. The calculation puts the relative energy among the computed polymorphs at 32 meV/atom. For the energy, the calculation gives -3.559 eV per atom. Its space group is I4/mmm, No. 139.

Cell lengths 4.8442, 4.8442, 15.3704 Å; angles 90.00, 90.00, 90.00 degrees
Closest atoms and distances in Å follow each position.
Sites, in units of the cell vectors:
Ba 0.0000 0.0000 0.0000  8 Te 3.88
Ba 0.5000 0.5000 0.5000  8 Te 3.88
Ca 0.0000 0.5000 0.2500  4 Te 3.16, 4 Ca 3.43
Ca 0.0000 0.5000 0.7500  4 Te 3.16, 4 Ca 3.43
Ca 0.5000 0.0000 0.2500  4 Te 3.16, 4 Ca 3.43
Ca 0.5000 0.0000 0.7500  4 Te 3.16, 4 Ca 3.43
Te 0.0000 0.0000 0.3815  4 Ca 3.16
Te 0.0000 0.0000 0.6185  4 Ca 3.16
Te 0.5000 0.5000 0.1185  4 Ca 3.16
Te 0.5000 0.5000 0.8815  4 Ca 3.16

5.
DFT (PBE-GGA) results for crystalline BaCa2Te at its relaxed geometry.

As for the density of states at the Fermi level: 0.378 states/eV per atom. The raw formation energy is -697 meV/atom. For the energy, the calculation gives -2.964 eV per atom. Its space group is R-3m, No. 166.

Cell lengths 4.3166, 4.3166, 33.0468 Å; angles 90.00, 90.00, 120.00 degrees
Closest atoms and distances in Å follow each position.
Sites, in units of the cell vectors:
Ba 0.0000 0.0000 0.0000  6 Ba 4.32, 6 Ca 4.35
Ba 0.3333 0.6667 0.6667  6 Ba 4.32, 6 Ca 4.35
Ba 0.6667 0.3333 0.3333  6 Ba 4.32, 6 Ca 4.35
Ca 0.0000 0.0000 0.2255  3 Te 3.16
Ca 0.0000 0.0000 0.7745  3 Te 3.16
Ca 0.3333 0.6667 0.4411  3 Te 3.16
Ca 0.3333 0.6667 0.8922  3 Te 3.16
Ca 0.6667 0.3333 0.1078  3 Te 3.16
Ca 0.6667 0.3333 0.5589  3 Te 3.16
Te 0.0000 0.0000 0.5000  6 Ca 3.16
Te 0.3333 0.6667 0.1667  6 Ca 3.16
Te 0.6667 0.3333 0.8333  6 Ca 3.16

6.
DFT (PBE-GGA) results for crystalline Ba2CaTe3 at its relaxed geometry.

The raw formation energy is -1714 meV/atom. For the energy, the calculation gives -4.259 eV per atom. Its space group is Fddd, No. 70.

Cell lengths 16.1011, 15.3451, 8.4122 Å; angles 79.51, 69.57, 30.91 degrees
Closest atoms and distances in Å follow each position.
Sites, in units of the cell vectors:
Ba 0.0430 0.0430 0.2070  6 Te 3.45-3.56
Ba 0.1232 0.1232 0.6268  6 Te 3.44-3.54
Ba 0.2070 0.2070 0.0430  6 Te 3.45-3.56
Ba 0.3732 0.3732 0.8768  6 Te 3.44-3.54
Ba 0.6268 0.6268 0.1232  6 Te 3.44-3.54
Ba 0.7930 0.7930 0.9570  6 Te 3.45-3.56
Ba 0.8768 0.8768 0.3732  6 Te 3.44-3.54
Ba 0.9570 0.9570 0.7930  6 Te 3.45-3.56
Ca 0.2912 0.2912 0.4588  6 Te 3.28-3.32
Ca 0.4588 0.4588 0.2912  6 Te 3.28-3.32
Ca 0.5412 0.5412 0.7088  6 Te 3.28-3.32
Ca 0.7088 0.7088 0.5412  6 Te 3.28-3.32
Te 0.0369 0.5390 0.2309  2 Ca 3.28-3.32, 4 Ba 3.45-3.56
Te 0.1451 0.6049 0.6049  2 Ca 3.30, 4 Ba 3.44-3.54
Te 0.2309 0.6932 0.0369  2 Ca 3.28-3.32, 4 Ba 3.45-3.56
Te 0.3068 0.7691 0.4610  2 Ca 3.28-3.32, 4 Ba 3.45-3.56
Te 0.3951 0.8549 0.8549  2 Ca 3.30, 4 Ba 3.44-3.54
Te 0.4610 0.9631 0.3068  2 Ca 3.28-3.32, 4 Ba 3.45-3.56
Te 0.5390 0.0369 0.6932  2 Ca 3.28-3.32, 4 Ba 3.45-3.56
Te 0.6049 0.1451 0.1451  2 Ca 3.30, 4 Ba 3.44-3.54
Te 0.6932 0.2309 0.5390  2 Ca 3.28-3.32, 4 Ba 3.45-3.56
Te 0.7691 0.3068 0.9631  2 Ca 3.28-3.32, 4 Ba 3.45-3.56
Te 0.8549 0.3951 0.3951  2 Ca 3.30, 4 Ba 3.44-3.54
Te 0.9631 0.4610 0.7691  2 Ca 3.28-3.32, 4 Ba 3.45-3.56

7.
DFT (PBE-GGA) results for crystalline BaCa2Te at its relaxed geometry.

As for the density of states at the Fermi level: 0.812 states/eV per atom. The raw formation energy is -699 meV/atom. For the energy, the calculation gives -2.966 eV per atom. Its space group is P4mm, No. 99.

Cell lengths 4.1308, 4.1308, 9.5724 Å; angles 90.00, 90.00, 90.00 degrees
Closest atoms and distances in Å follow each position.
Sites, in units of the cell vectors:
Ba 0.0000 0.0000 0.0000  4 Te 3.76, 1 Ca 3.84, 4 Ba 4.13
Ca 0.0000 0.0000 0.5991  4 Te 3.27
Ca 0.5000 0.5000 0.3262  8 Ca 3.92-4.13, 1 Te 4.09, 4 Ba 4.28
Te 0.5000 0.5000 0.7530  4 Ca 3.27

8.
DFT (PBE-GGA) results for crystalline BaCa3Te at its relaxed geometry.

As for the density of states at the Fermi level: 0.657 states/eV per atom. The raw formation energy is -394 meV/atom. The calculation puts the relative energy among the computed polymorphs at 0 meV/atom. For the energy, the calculation gives -2.608 eV per atom. Its space group is Pm-3m, No. 221.

Cell lengths 6.1909, 6.1909, 6.1909 Å; angles 90.00, 90.00, 90.00 degrees
Closest atoms and distances in Å follow each position.
Sites, in units of the cell vectors:
Ba 0.0000 0.0000 0.0000  12 Ca 4.38
Ca 0.0000 0.5000 0.5000  2 Te 3.10
Ca 0.5000 0.0000 0.5000  2 Te 3.10
Ca 0.5000 0.5000 0.0000  2 Te 3.10
Te 0.5000 0.5000 0.5000  6 Ca 3.10